#P
The following is a PBE calculation of crystalline Tl3Pd4Pb2 at its relaxed geometry, from Alexandria via LeMat-Bulk.

a b c (Å): 9.7052 9.7052 7.0553
angles (deg): 90.00 90.00 142.80
Last column: nearest neighbours and their distance in Å.
Atoms (fractional coordinates):
Tl1 0.0000 0.0000 0.0000  6 Pd 2.76-2.92
Tl2 0.0154 0.4846 0.2500  5 Pd 2.86-2.93, 2 Tl 3.10
Tl3 0.4846 0.0154 0.7500  5 Pd 2.86-2.93, 2 Tl 3.10
Tl4 0.5000 0.5000 0.5000  6 Pd 2.76-2.92
Tl5 0.5154 0.9846 0.2500  5 Pd 2.86-2.93, 2 Tl 3.10
Tl6 0.9846 0.5154 0.7500  5 Pd 2.86-2.93, 2 Tl 3.10
Pd1 0.1580 0.8420 0.0413  1 Pb 2.86, 5 Tl 2.91-2.93, 2 Pd 2.95
Pd2 0.1709 0.3291 0.2500  3 Tl 2.76-2.86, 2 Pb 2.86, 2 Pd 2.95
Pd3 0.3291 0.1709 0.7500  3 Tl 2.76-2.86, 2 Pb 2.86, 2 Pd 2.95
Pd4 0.3420 0.6580 0.5413  1 Pb 2.86, 5 Tl 2.91-2.93, 2 Pd 2.95
Pd5 0.6580 0.3420 0.4587  1 Pb 2.86, 5 Tl 2.91-2.93, 2 Pd 2.95
Pd6 0.6709 0.8291 0.2500  3 Tl 2.76-2.86, 2 Pb 2.86, 2 Pd 2.95
Pd7 0.8291 0.6709 0.7500  3 Tl 2.76-2.86, 2 Pb 2.86, 2 Pd 2.95
Pd8 0.8420 0.1580 0.9587  1 Pb 2.86, 5 Tl 2.91-2.93, 2 Pd 2.95
Pb1 0.0943 0.9057 0.4107  3 Pd 2.86
Pb2 0.4057 0.5943 0.9107  3 Pd 2.86
Pb3 0.5943 0.4057 0.0893  3 Pd 2.86
Pb4 0.9057 0.0943 0.5893  3 Pd 2.86

## Properties
SG: Cmce, No. 64
total moment: 0.0 Bohr magnetons per cell


#Q
The following is a PBE calculation of crystalline Tl3Pd4Pb2 at its relaxed geometry, from Alexandria via LeMat-Bulk.

a b c (Å): 5.8473 5.8473 9.4697
angles (deg): 105.38 105.38 42.48
Last column: nearest neighbours and their distance in Å.
Atoms (fractional coordinates):
Tl1 0.0000 0.0000 0.0000  4 Pd 2.78
Tl2 0.3766 0.3766 0.5837  4 Pd 2.81-2.99
Tl3 0.6234 0.6234 0.4163  4 Pd 2.81-2.99
Pd1 0.1119 0.1119 0.6179  2 Pd 2.80-2.93, 2 Pb 2.85, 3 Tl 2.88-2.99
Pd2 0.3438 0.3438 0.8676  3 Tl 2.78-2.81, 3 Pb 2.82-2.92, 1 Pd 2.93
Pd3 0.6562 0.6562 0.1324  3 Tl 2.78-2.81, 3 Pb 2.82-2.92, 1 Pd 2.93
Pd4 0.8881 0.8881 0.3821  2 Pd 2.80-2.93, 2 Pb 2.85, 3 Tl 2.88-2.99
Pb1 0.3337 0.3337 0.1723  5 Pd 2.82-2.92
Pb2 0.6663 0.6663 0.8277  5 Pd 2.82-2.92

## Properties
SG: C2/m, No. 12
total moment: 0.0 Bohr magnetons per cell


Which is most stable? The ranking, best first, is #P, #Q.


#P
The following is a PBE calculation of crystalline TlPdPb3 at its relaxed geometry, from Alexandria via LeMat-Bulk.

a b c (Å): 5.4303 5.4303 5.4303
angles (deg): 90.00 90.00 90.00
Last column: nearest neighbours and their distance in Å.
Atoms (fractional coordinates):
Tl1 0.0000 0.0000 0.0000  12 Pb 3.84
Pd1 0.5000 0.5000 0.5000  6 Pb 2.72
Pb1 0.0000 0.5000 0.5000  2 Pd 2.72
Pb2 0.5000 0.0000 0.5000  2 Pd 2.72
Pb3 0.5000 0.5000 0.0000  2 Pd 2.72

## Properties
SG: Pm-3m, No. 221
total moment: 0.0 Bohr magnetons per cell


#Q
The following is a PBE calculation of crystalline TlPdPb3 at its relaxed geometry, from Alexandria via LeMat-Bulk.

a b c (Å): 8.2177 4.5151 8.5869
angles (deg): 90.00 115.09 90.00
Last column: nearest neighbours and their distance in Å.
Atoms (fractional coordinates):
Tl1 0.1583 0.2500 0.2669  7 Pb 3.26-3.50
Tl2 0.8417 0.7500 0.7331  7 Pb 3.26-3.50
Pd1 0.4086 0.7500 0.8933  7 Pb 2.80-2.99, 2 Pd 2.89
Pd2 0.5914 0.2500 0.1067  7 Pb 2.80-2.99, 2 Pd 2.89
Pb1 0.1675 0.7500 0.5456  1 Pd 2.80
Pb2 0.1990 0.2500 0.9050  3 Pd 2.87-2.94
Pb3 0.4799 0.7500 0.2645  3 Pd 2.97-2.99
Pb4 0.5201 0.2500 0.7355  3 Pd 2.97-2.99
Pb5 0.8010 0.7500 0.0950  3 Pd 2.87-2.94
Pb6 0.8325 0.2500 0.4544  1 Pd 2.80

## Properties
SG: P2_1/m, No. 11
total moment: 0.0 Bohr magnetons per cell


Which is most stable? The ranking, best first, is #Q, #P.


#P
The following is a PBE calculation of crystalline Tl2Pd3Pb at its relaxed geometry, from Alexandria via LeMat-Bulk.

a b c (Å): 7.7258 4.4284 8.0382
angles (deg): 90.00 108.25 90.00
Last column: nearest neighbours and their distance in Å.
Atoms (fractional coordinates):
Tl1 0.0265 0.2500 0.3303  6 Pd 2.86-3.08
Tl2 0.2384 0.2500 0.9890  6 Pd 2.75-2.78
Tl3 0.7617 0.7500 0.0110  6 Pd 2.75-2.78
Tl4 0.9735 0.7500 0.6697  6 Pd 2.86-3.08
Pd1 0.1360 0.7500 0.1403  5 Tl 2.75-2.96, 1 Pd 2.79, 1 Pb 2.89
Pd2 0.2538 0.7500 0.5060  2 Pd 2.79-2.81, 3 Tl 2.86-2.90, 3 Pb 2.88-2.90
Pd3 0.3842 0.7500 0.8739  4 Tl 2.77-3.08, 1 Pd 2.81, 2 Pb 2.94
Pd4 0.6158 0.2500 0.1261  4 Tl 2.77-3.08, 1 Pd 2.81, 2 Pb 2.94
Pd5 0.7462 0.2500 0.4940  2 Pd 2.79-2.81, 3 Tl 2.86-2.90, 3 Pb 2.88-2.90
Pd6 0.8640 0.2500 0.8597  5 Tl 2.75-2.96, 1 Pd 2.79, 1 Pb 2.89
Pb1 0.4764 0.2500 0.6770  6 Pd 2.88-2.94
Pb2 0.5236 0.7500 0.3230  6 Pd 2.88-2.94

## Properties
SG: P2_1/m, No. 11
total moment: 0.0 Bohr magnetons per cell


#Q
The following is a PBE calculation of crystalline Tl2Pd3Pb at its relaxed geometry, from Alexandria via LeMat-Bulk.

a b c (Å): 8.2889 8.2889 4.8375
angles (deg): 106.44 106.44 119.13
Last column: nearest neighbours and their distance in Å.
Atoms (fractional coordinates):
Tl1 0.0865 0.9135 0.7500  8 Pd 2.87-2.93
Tl2 0.2581 0.7419 0.2500  8 Pd 2.92-3.01
Tl3 0.7419 0.2581 0.7500  8 Pd 2.92-3.01
Tl4 0.9135 0.0865 0.2500  8 Pd 2.87-2.93
Pd1 0.0000 0.5000 0.5000  6 Tl 2.91-3.01, 2 Pb 2.99
Pd2 0.1394 0.3123 0.9732  5 Tl 2.87-2.93, 3 Pb 3.04-3.13, 1 Pd 3.15
Pd3 0.3123 0.1394 0.4732  5 Tl 2.87-2.93, 3 Pb 3.04-3.13, 1 Pd 3.15
Pd4 0.5000 0.0000 0.0000  6 Tl 2.91-3.01, 2 Pb 2.99
Pd5 0.6877 0.8606 0.5268  5 Tl 2.87-2.93, 3 Pb 3.04-3.13, 1 Pd 3.15
Pd6 0.8606 0.6877 0.0268  5 Tl 2.87-2.93, 3 Pb 3.04-3.13, 1 Pd 3.15
Pb1 0.4204 0.5796 0.7500  8 Pd 2.99-3.13, 2 Pb 3.32, 2 Tl 3.35
Pb2 0.5796 0.4204 0.2500  8 Pd 2.99-3.13, 2 Pb 3.32, 2 Tl 3.35

## Properties
SG: C2/c, No. 15
total moment: 0.0 Bohr magnetons per cell


Which is most stable? The ranking, best first, is #P, #Q.


#P
The following is a PBE calculation of crystalline Tm4PdPb at its relaxed geometry, from Alexandria via LeMat-Bulk.

a b c (Å): 5.5807 6.8382 8.5778
angles (deg): 90.00 102.12 90.00
Last column: nearest neighbours and their distance in Å.
Atoms (fractional coordinates):
Tm1 0.1492 0.2500 0.0589  1 Pd 2.72
Tm2 0.2189 0.7500 0.3597  1 Pd 2.89
Tm3 0.3178 0.5065 0.7639  2 Pd 2.82-2.94
Tm4 0.3178 0.9935 0.7639  2 Pd 2.82-2.94
Tm5 0.6822 0.0065 0.2361  2 Pd 2.82-2.94
Tm6 0.6822 0.4935 0.2361  2 Pd 2.82-2.94
Tm7 0.7811 0.2500 0.6403  1 Pd 2.89
Tm8 0.8508 0.7500 0.9411  1 Pd 2.72
Pd1 0.3449 0.7500 0.0491  6 Tm 2.72-2.94
Pd2 0.6551 0.2500 0.9509  6 Tm 2.72-2.94
Pb1 0.2203 0.2500 0.4289  7 Tm 3.11-3.47
Pb2 0.7797 0.7500 0.5711  7 Tm 3.11-3.47

## Properties
SG: P2_1/m, No. 11
total moment: 0.0 Bohr magnetons per cell


#Q
The following is a PBE calculation of crystalline Tm4PdPb at its relaxed geometry, from Alexandria via LeMat-Bulk.

a b c (Å): 8.1003 8.1003 5.8733
angles (deg): 102.27 102.27 113.43
Last column: nearest neighbours and their distance in Å.
Atoms (fractional coordinates):
Tm1 0.0631 0.7098 0.9297  2 Pd 2.94-2.98, 2 Pb 3.21-3.25
Tm2 0.2097 0.3601 0.6610  2 Pd 2.92-2.96, 1 Pb 3.25
Tm3 0.2902 0.9369 0.5703  2 Pd 2.94-2.98, 2 Pb 3.21-3.25
Tm4 0.3601 0.2097 0.1610  2 Pd 2.92-2.96, 1 Pb 3.25
Tm5 0.6399 0.7903 0.8390  2 Pd 2.92-2.96, 1 Pb 3.25
Tm6 0.7098 0.0631 0.4297  2 Pd 2.94-2.98, 2 Pb 3.21-3.25
Tm7 0.7903 0.6399 0.3390  2 Pd 2.92-2.96, 1 Pb 3.25
Tm8 0.9369 0.2902 0.0703  2 Pd 2.94-2.98, 2 Pb 3.21-3.25
Pd1 0.0008 0.9992 0.7500  8 Tm 2.92-2.98, 2 Pd 2.94
Pd2 0.9992 0.0008 0.2500  8 Tm 2.92-2.98, 2 Pd 2.94
Pb1 0.3746 0.6254 0.2500  8 Tm 3.21-3.31
Pb2 0.6254 0.3746 0.7500  8 Tm 3.21-3.31

## Properties
SG: C2/c, No. 15
total moment: 0.0 Bohr magnetons per cell


Which is most stable? The ranking, best first, is #P, #Q.


#P
The following is a PBE calculation of crystalline Tm12Pd6Pb at its relaxed geometry, from Alexandria via LeMat-Bulk.

a b c (Å): 8.5261 8.5261 8.5261
angles (deg): 109.47 109.47 109.47
Last column: nearest neighbours and their distance in Å.
Atoms (fractional coordinates):
Tm1 0.1130 0.2974 0.8156  1 Pd 2.66
Tm2 0.1844 0.4818 0.2974  1 Pd 2.66
Tm3 0.1844 0.8870 0.7026  1 Pd 2.66
Tm4 0.2974 0.1844 0.4818  1 Pd 2.66
Tm5 0.2974 0.8156 0.1130  1 Pd 2.66
Tm6 0.4818 0.2974 0.1844  1 Pd 2.66
Tm7 0.5182 0.7026 0.8156  1 Pd 2.66
Tm8 0.7026 0.1844 0.8870  1 Pd 2.66
Tm9 0.7026 0.8156 0.5182  1 Pd 2.66
Tm10 0.8156 0.1130 0.2974  1 Pd 2.66
Tm11 0.8156 0.5182 0.7026  1 Pd 2.66
Tm12 0.8870 0.7026 0.1844  1 Pd 2.66
Pd1 0.1375 0.5000 0.6375  2 Tm 2.66, 1 Pd 2.71
Pd2 0.3625 0.8625 0.5000  2 Tm 2.66, 1 Pd 2.71
Pd3 0.5000 0.3625 0.8625  2 Tm 2.66, 1 Pd 2.71
Pd4 0.5000 0.6375 0.1375  2 Tm 2.66, 1 Pd 2.71
Pd5 0.6375 0.1375 0.5000  2 Tm 2.66, 1 Pd 2.71
Pd6 0.8625 0.5000 0.3625  2 Tm 2.66, 1 Pd 2.71
Pb1 0.0000 0.0000 0.0000  12 Tm 3.44

## Properties
SG: Im-3, No. 204
total moment: 0.0 Bohr magnetons per cell


#Q
The following is a PBE calculation of crystalline Tm12Pd6Pb at its relaxed geometry, from Alexandria via LeMat-Bulk.

a b c (Å): 8.6043 8.6043 8.6043
angles (deg): 108.83 108.83 108.83
Last column: nearest neighbours and their distance in Å.
Atoms (fractional coordinates):
Tm1 0.0557 0.3520 0.1155  3 Pd 2.76-2.96
Tm2 0.1155 0.0557 0.3520  3 Pd 2.76-2.96
Tm3 0.1710 0.4662 0.6424  3 Pd 2.75-2.86
Tm4 0.3520 0.1155 0.0557  3 Pd 2.76-2.96
Tm5 0.3576 0.8290 0.5338  3 Pd 2.75-2.86
Tm6 0.4662 0.6424 0.1710  3 Pd 2.75-2.86
Tm7 0.5338 0.3576 0.8290  3 Pd 2.75-2.86
Tm8 0.6424 0.1710 0.4662  3 Pd 2.75-2.86
Tm9 0.6480 0.8845 0.9443  3 Pd 2.76-2.96
Tm10 0.8290 0.5338 0.3576  3 Pd 2.75-2.86
Tm11 0.8845 0.9443 0.6480  3 Pd 2.76-2.96
Tm12 0.9443 0.6480 0.8845  3 Pd 2.76-2.96
Pd1 0.1465 0.7906 0.7191  6 Tm 2.75-2.96
Pd2 0.2094 0.2809 0.8535  6 Tm 2.75-2.96
Pd3 0.2809 0.8535 0.2094  6 Tm 2.75-2.96
Pd4 0.7191 0.1465 0.7906  6 Tm 2.75-2.96
Pd5 0.7906 0.7191 0.1465  6 Tm 2.75-2.96
Pd6 0.8535 0.2094 0.2809  6 Tm 2.75-2.96
Pb1 0.5000 0.5000 0.5000  12 Tm 3.40-3.63

## Properties
SG: R-3, No. 148
total moment: 0.0 Bohr magnetons per cell


Which is most stable? The ranking, best first, is #P, #Q.


#P
The following is a PBE calculation of crystalline TmPd6Pb at its relaxed geometry, from Alexandria via LeMat-Bulk.

a b c (Å): 8.2244 5.5227 7.3065
angles (deg): 90.00 108.05 90.00
Last column: nearest neighbours and their distance in Å.
Atoms (fractional coordinates):
Tm1 0.0000 0.0000 0.0000  10 Pd 2.82-3.02
Tm2 0.5000 0.5000 0.0000  10 Pd 2.82-3.02
Pd1 0.1405 0.0000 0.4338  5 Pd 2.77-2.89, 3 Pb 2.84-3.09, 1 Tm 3.02
Pd2 0.2026 0.2392 0.8010  5 Pd 2.64-2.89, 1 Pb 2.72, 2 Tm 2.82-2.85
Pd3 0.2026 0.7608 0.8010  5 Pd 2.64-2.89, 1 Pb 2.72, 2 Tm 2.82-2.85
Pd4 0.2974 0.2608 0.1990  5 Pd 2.64-2.89, 1 Pb 2.72, 2 Tm 2.82-2.85
Pd5 0.2974 0.7392 0.1990  5 Pd 2.64-2.89, 1 Pb 2.72, 2 Tm 2.82-2.85
Pd6 0.3595 0.5000 0.5662  5 Pd 2.77-2.89, 3 Pb 2.84-3.09, 1 Tm 3.02
Pd7 0.6405 0.5000 0.4338  5 Pd 2.77-2.89, 3 Pb 2.84-3.09, 1 Tm 3.02
Pd8 0.7026 0.2608 0.8010  5 Pd 2.64-2.89, 1 Pb 2.72, 2 Tm 2.82-2.85
Pd9 0.7026 0.7392 0.8010  5 Pd 2.64-2.89, 1 Pb 2.72, 2 Tm 2.82-2.85
Pd10 0.7974 0.2392 0.1990  5 Pd 2.64-2.89, 1 Pb 2.72, 2 Tm 2.82-2.85
Pd11 0.7974 0.7608 0.1990  5 Pd 2.64-2.89, 1 Pb 2.72, 2 Tm 2.82-2.85
Pd12 0.8595 0.0000 0.5662  5 Pd 2.77-2.89, 3 Pb 2.84-3.09, 1 Tm 3.02
Pb1 0.0000 0.5000 0.5000  6 Pd 2.72-2.84
Pb2 0.5000 0.0000 0.5000  6 Pd 2.72-2.84

## Properties
SG: C2/m, No. 12
total moment: 0.0 Bohr magnetons per cell


#Q
The following is a PBE calculation of crystalline TmPd6Pb at its relaxed geometry, from Alexandria via LeMat-Bulk.

a b c (Å): 5.8072 5.8072 4.0980
angles (deg): 90.00 90.00 90.00
Last column: nearest neighbours and their distance in Å.
Atoms (fractional coordinates):
Tm1 0.0000 0.0000 0.0000  12 Pd 2.89-2.90
Pd1 0.0000 0.5000 0.0000  8 Pd 2.90, 2 Pb 2.90, 2 Tm 2.90
Pd2 0.2481 0.2481 0.5000  8 Pd 2.88-2.93, 2 Tm 2.89, 2 Pb 2.91
Pd3 0.2481 0.7519 0.5000  8 Pd 2.88-2.93, 2 Tm 2.89, 2 Pb 2.91
Pd4 0.5000 0.0000 0.0000  8 Pd 2.90, 2 Pb 2.90, 2 Tm 2.90
Pd5 0.7519 0.2481 0.5000  8 Pd 2.88-2.93, 2 Tm 2.89, 2 Pb 2.91
Pd6 0.7519 0.7519 0.5000  8 Pd 2.88-2.93, 2 Tm 2.89, 2 Pb 2.91
Pb1 0.5000 0.5000 0.0000  12 Pd 2.90-2.91

## Properties
SG: P4/mmm, No. 123
total moment: 0.0 Bohr magnetons per cell


Which is most stable? The ranking, best first, is #Q, #P.